No. 1
Computed, not measured: an optimized crystal structure of PdBrN at the PBE-GGA level of DFT.

The value obtained for the energy above the most stable polymorph in this dataset is 0.980 eV/atom. Its total magnetization is 0.93 μB/f.u. The value obtained for the density of states at the Fermi level is 1.3 states/eV per cell.

```
3
Lattice="3.253 0.000 -0.002 0.000 5.558 0.000 -0.038 0.000 4.036" Properties=species:S:1:pos:R:3 pbc="T T T"
N -0.019 4.442 2.018
Pd 1.607 3.399 2.017
Br -0.019 1.430 2.018
```

No. 2
Computed, not measured: an optimized crystal structure of PdBr3N at the PBE-GGA level of DFT.

The value obtained for the energy above the most stable polymorph in this dataset is 0.160 eV/atom. Its total magnetization is 1.04 μB/f.u. The value obtained for the density of states at the Fermi level is 6.8 states/eV per cell.

```
5
Lattice="-3.355 0.507 -3.227 -3.264 -0.350 3.339 0.120 4.642 0.604" Properties=species:S:1:pos:R:3 pbc="T T T"
Pd -3.249 2.400 0.358
Br 0.060 2.321 0.302
Br -1.632 -0.175 1.670
Br -1.678 0.253 -1.613
N 0.000 0.000 0.000
```

No. 3
Computed, not measured: an optimized crystal structure of PdBr4N2 at the PBE-GGA level of DFT.

The value obtained for the energy above the most stable polymorph in this dataset is 0.595 eV/atom. Its total magnetization is 4.57 μB/f.u. The value obtained for the density of states at the Fermi level is 7.7 states/eV per cell.

```
7
Lattice="7.299 0.000 0.000 0.000 7.299 0.000 0.000 0.000 3.479" Properties=species:S:1:pos:R:3 pbc="T T T"
Pd 0.000 0.000 0.000
N 0.000 3.650 1.740
N 3.650 0.000 1.740
Br 1.714 5.585 0.000
Br 5.585 5.585 0.000
Br 1.714 1.714 0.000
Br 5.585 1.714 0.000
```

No. 4
Computed, not measured: an optimized crystal structure of PdBr6N2 at the PBE-GGA level of DFT.

The electronic total energy is -2.33 eV per atom. Its total magnetization is 4.91 μB/f.u. The value obtained for the density of states at the Fermi level is 12.8 states/eV per cell.

```
9
Lattice="4.614 0.012 5.423 -1.242 -4.026 5.740 4.024 -5.737 1.263" Properties=species:S:1:pos:R:3 pbc="T T T"
Br 3.863 -5.312 3.709
Br 3.533 -4.440 8.718
Br 6.198 -5.306 6.453
Br 3.235 -7.349 6.613
Br 4.162 -2.403 5.813
Br 1.198 -4.446 5.974
N 1.849 -2.438 3.107
N 5.547 -7.314 9.320
Pd 0.000 0.000 0.000
```

No. 5
Computed, not measured: an optimized crystal structure of PdBr3N at the PBE-GGA level of DFT.

The value obtained for the energy above the most stable polymorph in this dataset is 0.000 eV/atom. Its total magnetization is 2.75 μB/f.u. The value obtained for the density of states at the Fermi level is 7.5 states/eV per cell.

```
5
Lattice="-0.975 0.200 5.050 -5.054 -0.014 -0.976 -0.024 -5.144 0.199" Properties=species:S:1:pos:R:3 pbc="T T T"
Br -2.527 -0.007 -0.488
Br -0.012 -2.572 0.099
Br -0.488 0.100 2.525
N -3.027 -2.479 2.137
Pd 0.000 0.000 0.000
```

No. 6
Computed, not measured: an optimized crystal structure of PdBr4N2 at the PBE-GGA level of DFT.

The value obtained for the energy above the most stable polymorph in this dataset is 0.000 eV/atom. Its total magnetization is 0.00 μB/f.u. The value obtained for the density of states at the Fermi level is 1.7 states/eV per cell.

```
7
Lattice="-1.053 1.229 3.287 6.427 -4.480 3.877 5.647 4.091 -2.242" Properties=species:S:1:pos:R:3 pbc="T T T"
N 6.478 0.172 3.648
N 4.544 0.668 1.275
Br 1.075 0.714 2.119
Br 9.946 0.126 2.804
Br 4.962 1.873 2.451
Br 6.060 -1.032 2.472
Pd 0.000 0.000 0.000
```

Please write out number 3 again, unchanged.
Computed, not measured: an optimized crystal structure of PdBr4N2 at the PBE-GGA level of DFT.

The value obtained for the energy above the most stable polymorph in this dataset is 0.595 eV/atom. Its total magnetization is 4.57 μB/f.u. The value obtained for the density of states at the Fermi level is 7.7 states/eV per cell.

```
7
Lattice="7.299 0.000 0.000 0.000 7.299 0.000 0.000 0.000 3.479" Properties=species:S:1:pos:R:3 pbc="T T T"
Pd 0.000 0.000 0.000
N 0.000 3.650 1.740
N 3.650 0.000 1.740
Br 1.714 5.585 0.000
Br 5.585 5.585 0.000
Br 1.714 1.714 0.000
Br 5.585 1.714 0.000
```